Compound: CoSnNO2
Source: Alexandria via LeMat-Bulk
Functional: GGA+U
Structure: relaxed

abc: 4.0469 4.0469 4.1388
angles: 90.00 90.00 90.00
With the nearest neighbours (Å) after each atom.
Atoms (fractional coordinates):
Co  0.0000  0.0000  0.0000  4 N 2.86, 8 O 2.89
Sn  0.5000  0.5000  0.5000  4 O 2.02, 2 N 2.07
N  0.5000  0.5000  0.0000  2 Sn 2.07
O  0.0000  0.5000  0.5000  2 Sn 2.02
O  0.5000  0.0000  0.5000  2 Sn 2.02

Space-group type: P4/mmm
VASP energy (eV/atom): -5.246